! Pr2Co7B3 GGA-PBEsol optimized geometry; values from VASP
! Total magnetic moment in μB per atom: 0.2803
! V in Å³/f.u.: 139.9
! Uncorrected energy in eV/atom: -7.45
! DOS(E_F) in states/eV/f.u.: 10.09
! E_form in kcal/mol of atoms: -7.430
! Theoretical density in g/cm³: 8.62
&SYSTEM
  ibrav = 0, nat = 24, ntyp = 3
/
ATOMIC_SPECIES
B 10.81 B.upf
Co 58.93 Co.upf
Pr 140.91 Pr.upf
CELL_PARAMETERS angstrom
5.070 0.000 0.000
-2.535 4.391 0.000
0.000 0.000 12.572
ATOMIC_POSITIONS crystal
B 0.333 0.667 0.500
B 0.667 0.333 0.732
B 0.667 0.333 0.500
B 0.333 0.667 0.268
B 0.667 0.333 0.268
B 0.333 0.667 0.732
Co 0.500 0.500 0.385
Co 0.500 0.500 0.615
Co 0.000 0.500 0.615
Co 0.500 0.500 0.845
Co 0.000 0.500 0.155
Co 0.333 0.667 0.000
Co 0.500 0.500 0.155
Co 0.500 0.000 0.385
Co 0.500 0.000 0.155
Co 0.667 0.333 0.000
Co 0.000 0.500 0.845
Co 0.500 0.000 0.615
Co 0.500 0.000 0.845
Co 0.000 0.500 0.385
Pr 0.000 0.000 0.000
Pr 0.000 0.000 0.740
Pr 0.000 0.000 0.500
Pr 0.000 0.000 0.260